# 1
{"formula": "NbGaRh", "functional": "PBE", "state": "relaxed", "cell": [[-2.734, -3.137, 0.888], [1.386, -3.569, 1.855], [-1.037, -0.838, 4.040]], "species": ["Nb", "Ga", "Rh"], "fractional_positions": [[0.000, 0.000, 0.000], [0.500, 0.500, 0.500], [0.250, 0.250, 0.250]], "formation_enthalpy_0k_ev_per_atom": -0.34, "spacegroup": "No. 216", "vol_a3_per_atom": 18.15, "total_magnetization_mub_per_cell": 0.00}



# 2
{"formula": "ZrTi3C", "functional": "PBE", "state": "relaxed", "cell": [[4.741, 0.000, 0.000], [0.000, 4.741, 0.000], [0.000, 0.000, 4.741]], "species": ["Ti", "Ti", "Ti", "Zr", "C"], "fractional_positions": [[0.000, 0.000, 0.500], [0.500, 0.000, 0.000], [0.000, 0.500, 0.000], [0.000, 0.000, 0.000], [0.500, 0.500, 0.500]], "formation_enthalpy_0k_ev_per_atom": 2.41, "e_above_lowest_polymorph_ev_per_fu": 13.25, "spacegroup": "No. 221", "vol_a3_per_atom": 21.31, "total_magnetization_mub_per_cell": 0.00}



# 3
{"formula": "ReSbAs2", "functional": "PBE", "state": "relaxed", "cell": [[4.700, -0.002, 0.007], [3.608, 3.012, 0.007], [1.732, 0.627, 5.921]], "species": ["As", "As", "Sb", "Re"], "fractional_positions": [[0.969, 0.969, 0.980], [0.821, 0.821, 0.634], [0.175, 0.175, 0.250], [0.535, 0.535, 0.637]], "raw_formation_energy_ev_per_atom": 0.126, "spacegroup": "No. 8", "vol_a3_per_atom": 20.95, "total_magnetization_mub_per_cell": 0.00}



# 4
{"formula": "Rb2HoSbTe4", "functional": "PBE", "state": "relaxed", "cell": [[-4.511, -0.292, 0.307], [0.559, -0.354, 7.872], [-0.705, 8.615, -2.166]], "species": ["Sb", "Ho", "Rb", "Rb", "Te", "Te", "Te", "Te"], "fractional_positions": [[0.000, 0.000, 0.000], [0.500, 0.500, 0.000], [0.500, 0.000, 0.500], [0.000, 0.500, 0.500], [0.500, 0.766, 0.804], [0.000, 0.268, 0.803], [0.500, 0.234, 0.196], [0.000, 0.732, 0.197]], "raw_formation_energy_ev_per_atom": -0.946, "spacegroup": "No. 10", "vol_a3_per_atom": 38.14, "total_magnetization_mub_per_cell": 0.00}



# 5
{"formula": "CaMn2NiIr", "functional": "PBE", "state": "relaxed", "cell": [[4.179, 0.000, 0.000], [0.000, 4.319, 0.000], [0.000, 0.000, 4.179]], "species": ["Ca", "Mn", "Mn", "Ni", "Ir"], "fractional_positions": [[0.000, 0.000, 0.000], [0.000, 0.000, 0.500], [0.500, 0.000, 0.000], [0.000, 0.500, 0.000], [0.500, 0.500, 0.500]], "formation_enthalpy_0k_ev_per_atom": 2.32, "spacegroup": "No. 123", "vol_a3_per_atom": 15.08, "total_magnetization_mub_per_cell": 0.00}



# 6
{"formula": "AcSiGe2O8", "functional": "PBE", "state": "relaxed", "cell": [[-4.145, -1.940, 1.347], [-2.415, -2.798, -3.015], [1.501, -7.620, 2.095]], "species": ["Ge", "Ge", "Si", "O", "O", "O", "O", "O", "O", "O", "O", "Ac"], "fractional_positions": [[0.764, 0.764, 0.709], [0.236, 0.236, 0.291], [0.500, 0.500, 0.500], [0.160, 0.747, 0.654], [0.439, 0.160, 0.654], [0.561, 0.253, 0.346], [0.747, 0.439, 0.654], [0.253, 0.840, 0.346], [0.314, 0.314, 0.059], [0.840, 0.561, 0.346], [0.686, 0.686, 0.941], [0.000, 0.000, 0.000]], "raw_formation_energy_ev_per_atom": -1.916, "spacegroup": "No. 155", "vol_a3_per_atom": 12.41, "total_magnetization_mub_per_cell": 1.04}



# 7
{"formula": "RbSeCl4", "functional": "PBE", "state": "relaxed", "cell": [[-3.849, -4.319, 0.323], [2.757, -3.764, -3.437], [6.036, -8.551, 9.342]], "species": ["Cl", "Cl", "Cl", "Cl", "Cl", "Cl", "Cl", "Cl", "Rb", "Rb", "Se", "Se"], "fractional_positions": [[0.021, 0.071, 0.360], [0.979, 0.929, 0.640], [0.426, 0.490, 0.639], [0.071, 0.021, 0.860], [0.510, 0.574, 0.861], [0.574, 0.510, 0.361], [0.490, 0.426, 0.139], [0.929, 0.979, 0.140], [0.000, 0.500, 0.500], [0.500, 0.000, 0.000], [0.753, 0.247, 0.250], [0.247, 0.753, 0.750]], "raw_formation_energy_ev_per_atom": -0.832, "spacegroup": "No. 15", "vol_a3_per_atom": 37.42, "total_magnetization_mub_per_cell": 2.00}



# 8
{"formula": "Li5Al2Hg", "functional": "PBE", "state": "relaxed", "cell": [[-0.180, -2.109, -3.411], [3.847, 0.874, -0.744], [0.516, -6.231, 6.187]], "species": ["Li", "Li", "Li", "Li", "Li", "Al", "Al", "Hg"], "fractional_positions": [[0.870, 0.370, 0.740], [0.130, 0.630, 0.260], [0.630, 0.130, 0.260], [0.370, 0.870, 0.740], [0.500, 0.500, 0.000], [0.749, 0.749, 0.498], [0.251, 0.251, 0.502], [0.000, 0.000, 0.000]], "formation_enthalpy_0k_ev_per_atom": -0.20, "spacegroup": "No. 139", "vol_a3_per_atom": 16.77, "total_magnetization_mub_per_cell": 0.00}



# 9
{"formula": "BaSbSe2", "functional": "PBE", "state": "relaxed", "cell": [[6.397, 0.024, -0.003], [4.964, 4.035, -0.003], [0.003, 0.001, 4.815]], "species": ["Se", "Se", "Sb", "Ba"], "fractional_positions": [[0.245, 0.245, 0.375], [0.973, 0.973, 0.875], [0.758, 0.758, 0.875], [0.524, 0.524, 0.375]], "raw_formation_energy_ev_per_atom": -1.013, "spacegroup": "No. 38", "vol_a3_per_atom": 30.93, "total_magnetization_mub_per_cell": 0.00}



# 10
{"formula": "NbBW2", "functional": "PBE", "state": "relaxed", "cell": [[-0.115, 2.865, 0.874], [-1.303, 0.722, 2.602], [6.460, 0.342, 4.867]], "species": ["W", "W", "B", "Nb"], "fractional_positions": [[0.888, 0.888, 0.336], [0.112, 0.112, 0.664], [0.500, 0.500, 0.500], [0.000, 0.000, 0.000]], "formation_enthalpy_0k_ev_per_atom": 0.38, "spacegroup": "No. 166", "vol_a3_per_atom": 15.39, "total_magnetization_mub_per_cell": 0.00}



# 11
{"formula": "PmNd2In", "functional": "PBE", "state": "relaxed", "cell": [[-3.533, 0.156, -1.172], [-1.508, -2.915, -1.762], [-5.084, -5.028, 8.730]], "species": ["Pm", "In", "Nd", "Nd"], "fractional_positions": [[0.500, 0.500, 0.500], [0.666, 0.666, 0.001], [0.077, 0.077, 0.769], [0.257, 0.257, 0.230]], "formation_enthalpy_0k_ev_per_atom": -0.12, "e_above_lowest_polymorph_ev_per_fu": 0.61, "spacegroup": "No. 160", "vol_a3_per_atom": 33.29, "total_magnetization_mub_per_cell": 0.00}



# 12
{"formula": "LiNbInPt", "functional": "PBE", "state": "relaxed", "cell": [[-3.831, -1.678, -1.821], [-2.758, -2.628, 2.510], [-4.056, 1.590, 1.354]], "species": ["Li", "Pt", "Nb", "In"], "fractional_positions": [[0.000, 0.000, 0.000], [0.500, 0.500, 0.500], [0.250, 0.250, 0.250], [0.750, 0.750, 0.750]], "formation_enthalpy_0k_ev_per_atom": -0.31, "spacegroup": "No. 216", "vol_a3_per_atom": 16.78, "total_magnetization_mub_per_cell": 0.99}



# 13
{"formula": "HgBiIr2", "functional": "PBE", "state": "relaxed", "cell": [[7.450, 0.000, 0.000], [0.000, 7.450, 0.000], [3.725, 3.725, 2.957]], "species": ["Ir", "Ir", "Ir", "Ir", "Hg", "Hg", "Bi", "Bi"], "fractional_positions": [[0.114, 0.625, 0.250], [0.375, 0.364, 0.750], [0.875, 0.886, 0.750], [0.636, 0.125, 0.250], [0.250, 0.750, 0.500], [0.500, 0.500, 0.000], [0.000, 0.000, 0.000], [0.750, 0.250, 0.500]], "formation_enthalpy_0k_ev_per_atom": 0.79, "e_above_lowest_polymorph_ev_per_fu": 0.83, "spacegroup": "No. 122", "vol_a3_per_atom": 20.51, "total_magnetization_mub_per_cell": 0.00}



# 14
{"formula": "NaAcSmSe3", "functional": "PBE", "state": "relaxed", "cell": [[-2.328, 2.824, 2.219], [-7.273, -3.924, -2.636], [2.462, -4.315, 8.076]], "species": ["Se", "Se", "Se", "Se", "Se", "Se", "Sm", "Sm", "Ac", "Ac", "Na", "Na"], "fractional_positions": [[0.250, 0.096, 0.878], [0.250, 0.557, 0.827], [0.250, 0.752, 0.504], [0.750, 0.904, 0.122], [0.750, 0.443, 0.173], [0.750, 0.248, 0.496], [0.250, 0.665, 0.149], [0.750, 0.335, 0.851], [0.750, 0.797, 0.771], [0.250, 0.203, 0.229], [0.750, 0.901, 0.412], [0.250, 0.099, 0.588]], "raw_formation_energy_ev_per_atom": -1.594, "spacegroup": "No. 11", "vol_a3_per_atom": 28.24, "total_magnetization_mub_per_cell": 0.00}



# 15
{"formula": "TcAg2I8", "functional": "PBE", "state": "relaxed", "cell": [[-4.605, -5.673, 0.005], [1.383, 1.897, -8.402], [8.002, -3.467, 0.188]], "species": ["I", "I", "I", "I", "I", "I", "I", "I", "Ag", "Ag", "Tc"], "fractional_positions": [[0.298, 0.219, 0.219], [0.702, 0.781, 0.781], [0.814, 0.236, 0.909], [0.186, 0.764, 0.091], [0.186, 0.091, 0.764], [0.814, 0.909, 0.236], [0.811, 0.413, 0.413], [0.189, 0.587, 0.587], [0.368, 0.835, 0.835], [0.632, 0.165, 0.165], [0.000, 0.000, 0.000]], "raw_formation_energy_ev_per_atom": -0.073, "spacegroup": "No. 12", "vol_a3_per_atom": 46.85, "total_magnetization_mub_per_cell": 3.05}



# 16
{"formula": "Pr4Nd9Zn11", "functional": "PBE", "state": "relaxed", "cell": [[-3.475, 0.780, 0.512], [-0.835, -9.783, 9.243], [3.485, 11.452, 6.209]], "species": ["Zn", "Zn", "Zn", "Zn", "Zn", "Zn", "Zn", "Zn", "Zn", "Zn", "Zn", "Nd", "Nd", "Nd", "Nd", "Nd", "Nd", "Nd", "Nd", "Nd", "Pr", "Pr", "Pr", "Pr"], "fractional_positions": [[0.000, 0.051, 0.415], [0.000, 0.632, 0.368], [0.000, 0.824, 0.176], [0.000, 0.000, 0.000], [0.000, 0.949, 0.585], [0.000, 0.781, 0.781], [0.000, 0.176, 0.824], [0.000, 0.368, 0.632], [0.000, 0.585, 0.949], [0.000, 0.415, 0.051], [0.000, 0.219, 0.219], [0.500, 0.978, 0.796], [0.500, 0.796, 0.978], [0.500, 0.620, 0.147], [0.500, 0.204, 0.022], [0.500, 0.500, 0.500], [0.500, 0.147, 0.620], [0.500, 0.853, 0.380], [0.500, 0.380, 0.853], [0.500, 0.022, 0.204], [0.500, 0.578, 0.754], [0.500, 0.246, 0.422], [0.500, 0.754, 0.578], [0.500, 0.422, 0.246]], "formation_enthalpy_0k_ev_per_atom": -0.23, "spacegroup": "No. 65", "vol_a3_per_atom": 25.86, "total_magnetization_mub_per_cell": 0.00}



# 17
{"formula": "K4ZnCd", "functional": "PBE", "state": "relaxed", "cell": [[1.972, -6.785, 3.324], [1.293, -0.348, 7.693], [-5.073, -3.690, 4.649]], "species": ["Cd", "K", "K", "K", "K", "Zn"], "fractional_positions": [[0.000, 0.000, 0.000], [0.375, 0.875, 0.375], [0.375, 0.375, 0.875], [0.375, 0.375, 0.375], [0.875, 0.375, 0.375], [0.750, 0.750, 0.750]], "formation_enthalpy_0k_ev_per_atom": 0.32, "spacegroup": "No. 216", "vol_a3_per_atom": 56.11, "total_magnetization_mub_per_cell": 0.00}



# 18
{"formula": "AsIrBr2", "functional": "PBE", "state": "relaxed", "cell": [[-1.363, 2.192, 1.194], [0.605, -1.275, 3.034], [8.864, 5.269, 0.446]], "species": ["Br", "Br", "Ir", "As"], "fractional_positions": [[0.000, 0.000, 0.964], [0.500, 0.500, 0.332], [0.000, 0.000, 0.538], [0.500, 0.500, 0.666]], "raw_formation_energy_ev_per_atom": 0.250, "e_above_lowest_polymorph_ev_per_fu": 2.22, "spacegroup": "No. 25", "vol_a3_per_atom": 24.56, "total_magnetization_mub_per_cell": 0.00}



# 19
{"formula": "Ca4Ag2HgRh", "functional": "PBE", "state": "relaxed", "cell": [[-2.745, -3.333, -2.865], [-2.421, -3.982, 2.266], [-8.605, 2.338, 0.838]], "species": ["Ag", "Ag", "Ca", "Ca", "Ca", "Ca", "Rh", "Hg"], "fractional_positions": [[0.252, 0.252, 0.244], [0.748, 0.748, 0.756], [0.131, 0.131, 0.607], [0.617, 0.617, 0.148], [0.383, 0.383, 0.852], [0.869, 0.869, 0.393], [0.500, 0.500, 0.500], [0.000, 0.000, 0.000]], "formation_enthalpy_0k_ev_per_atom": -0.37, "spacegroup": "No. 166", "vol_a3_per_atom": 24.54, "total_magnetization_mub_per_cell": 0.00}



# 20
{"formula": "MnAgSe2N", "functional": "PBE", "state": "relaxed", "cell": [[5.196, 0.000, 0.000], [0.000, 5.196, 0.000], [0.000, 0.000, 3.956]], "species": ["N", "Mn", "Ag", "Se", "Se"], "fractional_positions": [[0.000, 0.000, 0.500], [0.500, 0.500, 0.500], [0.000, 0.000, 0.000], [0.500, 0.000, 0.000], [0.000, 0.500, 0.000]], "raw_formation_energy_ev_per_atom": 1.134, "e_above_lowest_polymorph_ev_per_fu": 4.56, "spacegroup": "No. 123", "vol_a3_per_atom": 21.36, "total_magnetization_mub_per_cell": 6.29}



# 21
{"formula": "MgFeSe2N", "functional": "PBE", "state": "relaxed", "cell": [[-4.634, -0.136, 1.852], [1.672, -2.474, 4.001], [0.552, 2.959, 1.599]], "species": ["N", "Se", "Se", "Fe", "Mg"], "fractional_positions": [[0.000, 0.000, 0.500], [0.500, 0.000, 0.000], [0.000, 0.500, 0.000], [0.000, 0.000, 0.000], [0.500, 0.500, 0.500]], "raw_formation_energy_ev_per_atom": -0.059, "e_above_lowest_polymorph_ev_per_fu": 0.00, "spacegroup": "No. 123", "vol_a3_per_atom": 16.99, "total_magnetization_mub_per_cell": 0.45}



# 22
{"formula": "Ho4Er4Zr", "functional": "PBE", "state": "relaxed", "cell": [[-3.957, -2.681, 0.996], [2.216, -6.141, 4.241], [-3.054, 2.549, 6.692]], "species": ["Ho", "Ho", "Ho", "Ho", "Er", "Er", "Er", "Er", "Zr"], "fractional_positions": [[0.327, 0.673, 0.673], [0.673, 0.327, 0.327], [0.000, 0.327, 0.673], [0.000, 0.673, 0.327], [0.661, 0.678, 0.000], [0.661, 0.000, 0.678], [0.339, 0.322, 0.000], [0.339, 0.000, 0.322], [0.000, 0.000, 0.000]], "formation_enthalpy_0k_ev_per_atom": 0.04, "spacegroup": "No. 139", "vol_a3_per_atom": 29.64, "total_magnetization_mub_per_cell": 0.00}



# 23
{"formula": "BaCoGe2", "functional": "PBE", "state": "relaxed", "cell": [[0.000, 3.502, 3.502], [3.502, 0.000, 3.502], [3.502, 3.502, 0.000]], "species": ["Ge", "Ge", "Ba", "Co"], "fractional_positions": [[0.750, 0.750, 0.750], [0.250, 0.250, 0.250], [0.500, 0.500, 0.500], [0.000, 0.000, 0.000]], "formation_enthalpy_0k_ev_per_atom": 0.38, "spacegroup": "No. 225", "vol_a3_per_atom": 21.47, "total_magnetization_mub_per_cell": 0.00}



# 24
{"formula": "PaTaTi2", "functional": "PBE", "state": "relaxed", "cell": [[3.350, 0.000, 0.000], [0.000, 4.757, 0.000], [0.000, 0.000, 4.757]], "species": ["Pa", "Ti", "Ti", "Ta"], "fractional_positions": [[0.500, 0.500, 0.500], [0.000, 0.500, 0.000], [0.000, 0.000, 0.500], [0.500, 0.000, 0.000]], "formation_enthalpy_0k_ev_per_atom": 0.17, "e_above_lowest_polymorph_ev_per_fu": 0.30, "spacegroup": "No. 123", "vol_a3_per_atom": 18.95, "total_magnetization_mub_per_cell": 0.00}



# 25
{"formula": "MgCr2Os", "functional": "PBE", "state": "relaxed", "cell": [[-0.663, -3.871, -5.806], [5.540, -3.838, 1.926], [0.867, -5.486, -0.672]], "species": ["Cr", "Cr", "Cr", "Cr", "Mg", "Mg", "Os", "Os"], "fractional_positions": [[0.375, 0.325, 0.750], [0.675, 0.125, 0.250], [0.075, 0.625, 0.250], [0.875, 0.925, 0.750], [0.250, 0.750, 0.500], [0.500, 0.500, 0.000], [0.000, 0.000, 0.000], [0.750, 0.250, 0.500]], "formation_enthalpy_0k_ev_per_atom": 0.79, "spacegroup": "No. 122", "vol_a3_per_atom": 15.94, "total_magnetization_mub_per_cell": 0.00}



# 26
{"formula": "CdTeAu2", "functional": "PBE", "state": "relaxed", "cell": [[-4.163, 2.691, 0.542], [-2.110, 0.450, 4.496], [0.151, 4.369, 2.399]], "species": ["Cd", "Au", "Au", "Te"], "fractional_positions": [[0.500, 0.500, 0.500], [0.000, 0.000, 0.000], [0.250, 0.250, 0.250], [0.750, 0.750, 0.750]], "raw_formation_energy_ev_per_atom": 0.143, "e_above_lowest_polymorph_ev_per_fu": 0.89, "spacegroup": "No. 216", "vol_a3_per_atom": 21.92, "total_magnetization_mub_per_cell": 0.00}



no.,uncorrected energy (eV/atom)
1,-7.154
2,-5.882
3,-6.341
4,-3.846
5,-4.678
6,-6.785
7,-2.805
8,-2.371
9,-4.267
10,-10.279
11,-4.377
12,-5.499
13,-4.690
14,-5.027
15,-2.661
16,-3.397
17,-0.781
18,-3.964
19,-3.040
20,-4.329
21,-5.129
22,-4.970
23,-4.181
24,-9.116
25,-7.224
26,-2.510